Material: CaRe2As
Method: DFT, PBEsol
State: optimized geometry

The structure in CIF format:
```
data_CaRe2As
_chemical_formula_sum 'Ca1 Re2 As1'
_cell_length_a 3.255
_cell_length_b 4.256
_cell_length_c 4.896
_cell_angle_alpha 90.00
_cell_angle_beta 90.00
_cell_angle_gamma 90.00
_symmetry_space_group_name_H-M 'P 1'
_symmetry_Int_Tables_number 1
loop_
_symmetry_equiv_pos_as_xyz
'x,y,z'
loop_
_atom_site_label
_atom_site_type_symbol
_atom_site_fract_x
_atom_site_fract_y
_atom_site_fract_z
_atom_site_occupancy
Re1 Re 0.000 0.000 0.000 1
Re2 Re 0.500 0.500 0.000 1
As1 As 0.500 0.000 0.500 1
Ca1 Ca 0.000 0.500 0.500 1
```

## Properties
**DFT formation energy**: 2.059 eV/f.u.
**Calculated total energy**: -7.961 eV/atom
**Space group**: Pmmm (47)

=====

Material: SrCrIr2
Method: DFT, PBEsol
State: optimized geometry

The structure in CIF format:
```
data_SrCrIr2
_chemical_formula_sum 'Sr1 Cr1 Ir2'
_cell_length_a 2.766
_cell_length_b 3.843
_cell_length_c 6.819
_cell_angle_alpha 90.00
_cell_angle_beta 90.00
_cell_angle_gamma 90.00
_symmetry_space_group_name_H-M 'P 1'
_symmetry_Int_Tables_number 1
loop_
_symmetry_equiv_pos_as_xyz
'x,y,z'
loop_
_atom_site_label
_atom_site_type_symbol
_atom_site_fract_x
_atom_site_fract_y
_atom_site_fract_z
_atom_site_occupancy
Cr1 Cr 0.500 0.500 0.845 1
Ir1 Ir 0.000 0.000 0.975 1
Ir2 Ir 0.500 0.500 0.193 1
Sr1 Sr 0.000 0.000 0.487 1
```

## Properties
**DFT formation energy**: 1.641 eV/f.u.
**Calculated total energy**: -7.522 eV/atom
**Space group**: Pmm2 (25)
**Excess energy over the best structure of this formula in the dataset**: 307 meV/atom

=====

Material: NiPbCl2
Method: DFT, PBEsol
State: optimized geometry

The structure in CIF format:
```
data_NiPbCl2
_chemical_formula_sum 'Ni1 Pb1 Cl2'
_cell_length_a 3.420
_cell_length_b 3.420
_cell_length_c 8.288
_cell_angle_alpha 78.09
_cell_angle_beta 78.09
_cell_angle_gamma 60.00
_symmetry_space_group_name_H-M 'P 1'
_symmetry_Int_Tables_number 1
loop_
_symmetry_equiv_pos_as_xyz
'x,y,z'
loop_
_atom_site_label
_atom_site_type_symbol
_atom_site_fract_x
_atom_site_fract_y
_atom_site_fract_z
_atom_site_occupancy
Pb1 Pb 0.000 0.000 0.000 1
Ni1 Ni 0.500 0.500 0.500 1
Cl1 Cl 0.222 0.222 0.335 1
Cl2 Cl 0.778 0.778 0.665 1
```

## Properties
**Calculated total energy**: -3.917 eV/atom
**Space group**: R-3m (166)
**Formation energy from raw total energies**: -0.374 eV/atom
**Excess energy over the best structure of this formula in the dataset**: 0 meV/atom

=====

Material: Ta2Ni2Rh
Method: DFT, PBEsol
State: optimized geometry

The structure in CIF format:
```
data_Ta2Ni2Rh
_chemical_formula_sum 'Ta4 Ni4 Rh2'
_cell_length_a 3.104
_cell_length_b 6.679
_cell_length_c 6.679
_cell_angle_alpha 90.00
_cell_angle_beta 90.00
_cell_angle_gamma 90.00
_symmetry_space_group_name_H-M 'P 1'
_symmetry_Int_Tables_number 1
loop_
_symmetry_equiv_pos_as_xyz
'x,y,z'
loop_
_atom_site_label
_atom_site_type_symbol
_atom_site_fract_x
_atom_site_fract_y
_atom_site_fract_z
_atom_site_occupancy
Ni1 Ni 0.000 0.375 0.875 1
Ni2 Ni 0.000 0.875 0.625 1
Ni3 Ni 0.000 0.625 0.125 1
Ni4 Ni 0.000 0.125 0.375 1
Rh1 Rh 0.000 0.000 0.000 1
Rh2 Rh 0.000 0.500 0.500 1
Ta1 Ta 0.500 0.176 0.676 1
Ta2 Ta 0.500 0.676 0.824 1
Ta3 Ta 0.500 0.824 0.324 1
Ta4 Ta 0.500 0.324 0.176 1
```

## Properties
**DFT formation energy**: -1.870 eV/f.u.
**Calculated total energy**: -9.485 eV/atom
**Space group**: P4/mbm (127)

=====

Material: ScZnOs2
Method: DFT, PBEsol
State: optimized geometry

The structure in CIF format:
```
data_ScZnOs2
_chemical_formula_sum 'Sc1 Zn1 Os2'
_cell_length_a 2.813
_cell_length_b 3.926
_cell_length_c 5.425
_cell_angle_alpha 90.00
_cell_angle_beta 90.00
_cell_angle_gamma 90.00
_symmetry_space_group_name_H-M 'P 1'
_symmetry_Int_Tables_number 1
loop_
_symmetry_equiv_pos_as_xyz
'x,y,z'
loop_
_atom_site_label
_atom_site_type_symbol
_atom_site_fract_x
_atom_site_fract_y
_atom_site_fract_z
_atom_site_occupancy
Os1 Os 0.000 0.000 0.016 1
Os2 Os 0.500 0.500 0.228 1
Sc1 Sc 0.000 0.000 0.501 1
Zn1 Zn 0.500 0.500 0.755 1
```

## Properties
**DFT formation energy**: -0.203 eV/f.u.
**Calculated total energy**: -8.205 eV/atom
**Space group**: Pmm2 (25)

=====

Material: AlZn
Method: DFT, PBEsol
State: optimized geometry

The structure in CIF format:
```
data_AlZn
_chemical_formula_sum 'Al2 Zn2'
_cell_length_a 2.804
_cell_length_b 4.682
_cell_length_c 4.697
_cell_angle_alpha 90.00
_cell_angle_beta 90.00
_cell_angle_gamma 90.00
_symmetry_space_group_name_H-M 'P 1'
_symmetry_Int_Tables_number 1
loop_
_symmetry_equiv_pos_as_xyz
'x,y,z'
loop_
_atom_site_label
_atom_site_type_symbol
_atom_site_fract_x
_atom_site_fract_y
_atom_site_fract_z
_atom_site_occupancy
Zn1 Zn 0.500 0.000 0.083 1
Zn2 Zn 0.000 0.500 0.917 1
Al1 Al 0.000 0.000 0.586 1
Al2 Al 0.500 0.500 0.414 1
```

## Properties
**DFT formation energy**: 0.129 eV/f.u.
**Calculated total energy**: -2.772 eV/atom
**Space group**: Pmmn (59)

=====

Material: KTaAl
Method: DFT, PBEsol
State: optimized geometry

The structure in CIF format:
```
data_KTaAl
_chemical_formula_sum 'K1 Ta1 Al1'
_cell_length_a 2.955
_cell_length_b 2.955
_cell_length_c 8.525
_cell_angle_alpha 90.00
_cell_angle_beta 90.00
_cell_angle_gamma 120.00
_symmetry_space_group_name_H-M 'P 1'
_symmetry_Int_Tables_number 1
loop_
_symmetry_equiv_pos_as_xyz
'x,y,z'
loop_
_atom_site_label
_atom_site_type_symbol
_atom_site_fract_x
_atom_site_fract_y
_atom_site_fract_z
_atom_site_occupancy
K1 K 0.333 0.667 0.672 1
Al1 Al 0.000 0.000 0.030 1
Ta1 Ta 0.667 0.333 0.298 1
```

## Properties
**DFT formation energy**: 1.955 eV/f.u.
**Calculated total energy**: -5.274 eV/atom
**Space group**: P3m1 (156)

=====

Material: TlReMo2
Method: DFT, PBEsol
State: optimized geometry

The structure in CIF format:
```
data_TlReMo2
_chemical_formula_sum 'Tl1 Re1 Mo2'
_cell_length_a 2.880
_cell_length_b 2.880
_cell_length_c 9.410
_cell_angle_alpha 81.20
_cell_angle_beta 81.20
_cell_angle_gamma 60.00
_symmetry_space_group_name_H-M 'P 1'
_symmetry_Int_Tables_number 1
loop_
_symmetry_equiv_pos_as_xyz
'x,y,z'
loop_
_atom_site_label
_atom_site_type_symbol
_atom_site_fract_x
_atom_site_fract_y
_atom_site_fract_z
_atom_site_occupancy
Mo1 Mo 0.243 0.243 0.270 1
Mo2 Mo 0.757 0.757 0.730 1
Re1 Re 0.500 0.500 0.500 1
Tl1 Tl 0.000 0.000 0.000 1
```

## Properties
**DFT formation energy**: 1.940 eV/f.u.
**Calculated total energy**: -9.389 eV/atom
**Space group**: R-3m (166)
**Excess energy over the best structure of this formula in the dataset**: 39 meV/atom

=====

Material: NbTl3Sb
Method: DFT, PBEsol
State: optimized geometry

The structure in CIF format:
```
data_NbTl3Sb
_chemical_formula_sum 'Nb1 Tl3 Sb1'
_cell_length_a 5.414
_cell_length_b 5.414
_cell_length_c 5.414
_cell_angle_alpha 90.00
_cell_angle_beta 90.00
_cell_angle_gamma 90.00
_symmetry_space_group_name_H-M 'P 1'
_symmetry_Int_Tables_number 1
loop_
_symmetry_equiv_pos_as_xyz
'x,y,z'
loop_
_atom_site_label
_atom_site_type_symbol
_atom_site_fract_x
_atom_site_fract_y
_atom_site_fract_z
_atom_site_occupancy
Sb1 Sb 0.500 0.500 0.500 1
Tl1 Tl 0.000 0.500 0.000 1
Tl2 Tl 0.000 0.000 0.500 1
Tl3 Tl 0.500 0.000 0.000 1
Nb1 Nb 0.000 0.000 0.000 1
```

## Properties
**Calculated total energy**: -3.817 eV/atom
**Space group**: Pm-3m (221)
**Formation energy from raw total energies**: 0.837 eV/atom

=====

Material: CsAg2MoC
Method: DFT, PBEsol
State: optimized geometry

The structure in CIF format:
```
data_CsAg2MoC
_chemical_formula_sum 'Cs1 Ag2 Mo1 C1'
_cell_length_a 4.301
_cell_length_b 4.301
_cell_length_c 5.634
_cell_angle_alpha 90.00
_cell_angle_beta 90.00
_cell_angle_gamma 90.00
_symmetry_space_group_name_H-M 'P 1'
_symmetry_Int_Tables_number 1
loop_
_symmetry_equiv_pos_as_xyz
'x,y,z'
loop_
_atom_site_label
_atom_site_type_symbol
_atom_site_fract_x
_atom_site_fract_y
_atom_site_fract_z
_atom_site_occupancy
Cs1 Cs 0.000 0.000 0.500 1
Mo1 Mo 0.500 0.500 0.500 1
C1 C 0.000 0.000 0.000 1
Ag1 Ag 0.000 0.500 0.000 1
Ag2 Ag 0.500 0.000 0.000 1
```

## Properties
**DFT formation energy**: 9.596 eV/f.u.
**Calculated total energy**: -3.876 eV/atom
**Space group**: P4/mmm (123)

=====

Material: CaTl2Au
Method: DFT, PBEsol
State: optimized geometry

The structure in CIF format:
```
data_CaTl2Au
_chemical_formula_sum 'Ca1 Tl2 Au1'
_cell_length_a 3.743
_cell_length_b 4.300
_cell_length_c 6.625
_cell_angle_alpha 90.00
_cell_angle_beta 105.93
_cell_angle_gamma 90.00
_symmetry_space_group_name_H-M 'P 1'
_symmetry_Int_Tables_number 1
loop_
_symmetry_equiv_pos_as_xyz
'x,y,z'
loop_
_atom_site_label
_atom_site_type_symbol
_atom_site_fract_x
_atom_site_fract_y
_atom_site_fract_z
_atom_site_occupancy
Tl1 Tl 0.069 0.000 0.014 1
Tl2 Tl 0.680 0.500 0.241 1
Au1 Au 0.837 0.000 0.544 1
Ca1 Ca 0.413 0.500 0.701 1
```

## Properties
**DFT formation energy**: -1.349 eV/f.u.
**Calculated total energy**: -3.167 eV/atom
**Space group**: Pm (6)

=====

Material: MgReSn3
Method: DFT, PBEsol
State: optimized geometry

The structure in CIF format:
```
data_MgReSn3
_chemical_formula_sum 'Mg1 Re1 Sn3'
_cell_length_a 5.179
_cell_length_b 5.179
_cell_length_c 5.179
_cell_angle_alpha 90.00
_cell_angle_beta 90.00
_cell_angle_gamma 90.00
_symmetry_space_group_name_H-M 'P 1'
_symmetry_Int_Tables_number 1
loop_
_symmetry_equiv_pos_as_xyz
'x,y,z'
loop_
_atom_site_label
_atom_site_type_symbol
_atom_site_fract_x
_atom_site_fract_y
_atom_site_fract_z
_atom_site_occupancy
Re1 Re 0.000 0.000 0.000 1
Mg1 Mg 0.500 0.500 0.500 1
Sn1 Sn 0.000 0.500 0.000 1
Sn2 Sn 0.000 0.000 0.500 1
Sn3 Sn 0.500 0.000 0.000 1
```

## Properties
**DFT formation energy**: 2.038 eV/f.u.
**Calculated total energy**: -5.158 eV/atom
**Space group**: Pm-3m (221)

=====

Q: calculated total energy of number 3 (NiPbCl2)?
A: -3.917 eV/atom

=====

Q: The lowest calculated total energy belongs to which entry?
A: Ta2Ni2Rh